# Er4InRe

A geometry-optimized Er4InRe structure (PBE, the Alexandria database).

Properties
- size of the total moment (μB per formula unit) = 0.00
- energy of formation (meV/atom) = -209

Cell and atoms, written as extended XYZ:
```
12
Lattice="5.983 0.214 -1.183 -2.156 7.041 -2.719 0.193 -0.276 7.842" Properties=species:S:1:pos:R:3 pbc="T T T"
Re -0.660 7.092 -3.012
Er -1.674 6.541 -0.435
In 0.809 2.518 3.591
Er 5.694 0.437 4.375
Er 1.150 5.166 -2.015
Re 4.679 -0.113 6.952
Er 2.870 1.812 5.955
Er 4.043 4.523 3.466
In 3.211 4.461 0.349
Er 3.326 1.446 1.494
Er 0.693 5.533 2.447
Er -0.024 2.455 0.474
```